No. 1
The following is a DFT calculation (PBE-GGA) of EuThRu4 after structural relaxation.

Calculated values
- DFT total energy: -55.6 eV/cell
- Symmetry: No. 216
- Crystal system: cubic
- Calculated formation energy: -133 meV per atom

extended XYZ file:
```
6
Lattice="0.000 3.828 3.828 3.828 0.000 3.828 3.828 3.828 0.000" Properties=species:S:1:pos:R:3 pbc="T T T"
Eu 0.000 0.000 0.000
Th 1.914 1.914 1.914
Ru 4.785 2.870 2.870
Ru 2.870 4.785 2.870
Ru 2.870 2.870 4.785
Ru 4.785 4.785 4.785
```


No. 2
The following is a DFT calculation (PBE-GGA) of EuThZnRu after structural relaxation.

Calculated values
- DFT total energy: -28.8 eV/cell
- Symmetry: No. 216
- Crystal system: cubic
- Calculated formation energy: -142 meV per atom

extended XYZ file:
```
4
Lattice="0.000 3.585 3.585 3.585 0.000 3.585 3.585 3.585 0.000" Properties=species:S:1:pos:R:3 pbc="T T T"
Eu 0.000 0.000 0.000
Th 3.585 3.585 3.585
Zn 5.378 5.378 5.378
Ru 1.793 1.793 1.793
```


No. 3
The following is a DFT calculation (PBE-GGA) of Eu3TlRu after structural relaxation.

Calculated values
- DFT total energy: -42.6 eV/cell
- Symmetry: No. 221
- Crystal system: cubic
- Calculated formation energy: -18 meV per atom

extended XYZ file:
```
5
Lattice="5.471 0.000 0.000 0.000 5.471 0.000 0.000 0.000 5.471" Properties=species:S:1:pos:R:3 pbc="T T T"
Eu 0.000 0.000 2.735
Eu 0.000 2.735 0.000
Eu 2.735 0.000 0.000
Tl 2.735 2.735 2.735
Ru 0.000 0.000 0.000
```


> Number 3 is which compound?

Eu3TlRu


> Number 1 is which compound?

EuThRu4